VASP calculation (PBE) on crystalline CsRb6Na2H at its relaxed geometry.

Unit cell a=11.7362 b=8.0395 c=11.2688 alpha=107.34 beta=138.98 gamma=79.15
Closest atoms and distances in Å follow each position.
Fractional coordinates of all 10 atoms:
1 Rb 0.1198 0.2917 0.3480  1 H 3.21
2 Rb 0.7119 0.8780 0.9378  1 H 3.19
3 Rb 0.8801 0.7089 0.6516  1 H 3.21
4 Rb 0.7458 0.2530 0.7428  1 H 3.10
5 Rb 0.2877 0.1230 0.0616  1 H 3.19
6 Rb 0.2541 0.7481 0.2569  1 H 3.10
7 Cs 0.5000 0.5004 0.9999  2 Na 4.72, 10 Rb 4.76-5.26
8 H 0.0000 0.0006 0.9999  6 Rb 3.10-3.21
9 Na 0.1572 0.8511 0.5671  1 Na 3.47
10 Na 0.8424 0.1490 0.4323  1 Na 3.47

DOS at the Fermi energy, states/eV/atom: 0.630
Symmetry: No. 2
Energy, eV per atom: -1.243